Entry 1:
# Mn4SiPb | Alexandria via LeMat-Bulk | GGA-PBEsol | relaxed
data_Mn4SiPb
_chemical_formula_sum 'Mn16 Si4 Pb4'
_cell_length_a 6.8421
_cell_length_b 6.8421
_cell_length_c 6.8421
_cell_angle_alpha 90.00
_cell_angle_beta 90.00
_cell_angle_gamma 90.00
_space_group_name_H-M_alt 'F -4 3 m'
_space_group_IT_number 216
_space_group_name_Hall 'F -4 2 3'
loop_
_atom_site_label
_atom_site_type_symbol
_atom_site_fract_x
_atom_site_fract_y
_atom_site_fract_z
Mn1 Mn 0.1243 0.1243 0.3757
Si1 Si 0.2500 0.2500 0.7500
Pb1 Pb 0.0000 0.0000 0.0000
# Energy relative to the elements, uncorrected = 487 meV per atom
# DFT total energy = -7.644 eV per atom
# Size of the total moment = 0.937 μB per atom


Entry 2:
# SrCd | Alexandria via LeMat-Bulk | GGA-PBEsol | relaxed
data_SrCd
_chemical_formula_sum 'Sr4 Cd4'
_cell_length_a 3.8905
_cell_length_b 5.6259
_cell_length_c 11.4745
_cell_angle_alpha 90.00
_cell_angle_beta 90.00
_cell_angle_gamma 90.00
_space_group_name_H-M_alt 'I m m a'
_space_group_IT_number 74
_space_group_name_Hall '-I 2b 2'
loop_
_atom_site_label
_atom_site_type_symbol
_atom_site_fract_x
_atom_site_fract_y
_atom_site_fract_z
Sr1 Sr 0.0000 0.2500 0.1004
Cd1 Cd 0.0000 0.2500 0.6551
# Formation energy = -0.25 eV/atom
# DFT total energy = -1.765 eV per atom
# Size of the total moment = 0.000 μB per atom


Entry 3:
# NaGe2B2 | Alexandria via LeMat-Bulk | GGA-PBEsol | relaxed
data_NaGe2B2
_chemical_formula_sum 'Na2 Ge4 B4'
_cell_length_a 3.9211
_cell_length_b 3.9211
_cell_length_c 9.0940
_cell_angle_alpha 90.00
_cell_angle_beta 90.00
_cell_angle_gamma 90.00
_space_group_name_H-M_alt 'I 4/m m m'
_space_group_IT_number 139
_space_group_name_Hall '-I 4 2'
loop_
_atom_site_label
_atom_site_type_symbol
_atom_site_fract_x
_atom_site_fract_y
_atom_site_fract_z
Na1 Na 0.0000 0.0000 0.0000
Ge1 Ge 0.0000 0.0000 0.3617
B1 B 0.0000 0.5000 0.2500
# Formation energy = 0.54 eV/atom
# DFT total energy = -4.527 eV per atom
# Size of the total moment = 0.000 μB per atom


Entry 4:
# CaSb2Cl | Alexandria via LeMat-Bulk | GGA-PBEsol | relaxed
data_CaSb2Cl
_chemical_formula_sum 'Ca2 Sb4 Cl2'
_cell_length_a 4.1417
_cell_length_b 4.1417
_cell_length_c 12.4334
_cell_angle_alpha 90.00
_cell_angle_beta 90.00
_cell_angle_gamma 90.00
_space_group_name_H-M_alt 'I 4/m m m'
_space_group_IT_number 139
_space_group_name_Hall '-I 4 2'
loop_
_atom_site_label
_atom_site_type_symbol
_atom_site_fract_x
_atom_site_fract_y
_atom_site_fract_z
Ca1 Ca 0.0000 0.0000 0.0000
Sb1 Sb 0.0000 0.5000 0.2500
Cl1 Cl 0.0000 0.0000 0.5000
# Energy relative to the elements, uncorrected = -886 meV per atom
# Relative energy among the computed polymorphs = 0 meV/atom
# DFT total energy = -4.200 eV per atom
# Size of the total moment = 0.000 μB per atom


Entry 5:
# ScCr2ReBi | Alexandria via LeMat-Bulk | GGA-PBEsol | relaxed
data_ScCr2ReBi
_chemical_formula_sum 'Sc1 Cr2 Re1 Bi1'
_cell_length_a 4.6400
_cell_length_b 4.6400
_cell_length_c 4.7184
_cell_angle_alpha 90.00
_cell_angle_beta 90.00
_cell_angle_gamma 90.00
_space_group_name_H-M_alt 'P 4/m m m'
_space_group_IT_number 123
_space_group_name_Hall '-P 4 2'
loop_
_atom_site_label
_atom_site_type_symbol
_atom_site_fract_x
_atom_site_fract_y
_atom_site_fract_z
Sc1 Sc 0.0000 0.0000 0.0000
Cr1 Cr 0.0000 0.5000 0.0000
Re1 Re 0.0000 0.0000 0.5000
Bi1 Bi 0.5000 0.5000 0.5000
# Formation energy = 1.84 eV/atom
# DFT total energy = -7.104 eV per atom
# Size of the total moment = 1.222 μB per atom


Entry 6:
# Mg2Tc | Alexandria via LeMat-Bulk | GGA-PBEsol | relaxed
data_Mg2Tc
_chemical_formula_sum 'Mg8 Tc4'
_cell_length_a 10.1708
_cell_length_b 3.1189
_cell_length_c 7.2898
_cell_angle_alpha 90.00
_cell_angle_beta 110.26
_cell_angle_gamma 90.00
_space_group_name_H-M_alt 'C 1 2/m 1'
_space_group_IT_number 12
loop_
_space_group_symop_operation_xyz
'x,y,z'
'-x,-y,-z'
'-x,y,-z'
'x,-y,z'
'x+1/2,y+1/2,z'
'-x+1/2,-y+1/2,-z'
'-x+1/2,y+1/2,-z'
'x+1/2,-y+1/2,z'
loop_
_atom_site_label
_atom_site_type_symbol
_atom_site_fract_x
_atom_site_fract_y
_atom_site_fract_z
Mg1 Mg 0.0115 0.0000 0.2116
Mg2 Mg 0.1658 0.5000 0.6065
Tc1 Tc 0.1892 0.5000 0.0680
# Formation energy = 0.17 eV/atom
# Relative energy among the computed polymorphs = 0 meV/atom
# DFT total energy = -4.733 eV per atom
# Size of the total moment = 0.000 μB per atom


Entry 7:
# Tl2ReCl2 | Alexandria via LeMat-Bulk | GGA-PBEsol | relaxed
data_Tl2ReCl2
_chemical_formula_sum 'Tl4 Re2 Cl4'
_cell_length_a 6.1810
_cell_length_b 6.1810
_cell_length_c 7.5199
_cell_angle_alpha 90.00
_cell_angle_beta 90.00
_cell_angle_gamma 90.00
_space_group_name_H-M_alt 'I 4/m m m'
_space_group_IT_number 139
_space_group_name_Hall '-I 4 2'
loop_
_atom_site_label
_atom_site_type_symbol
_atom_site_fract_x
_atom_site_fract_y
_atom_site_fract_z
Tl1 Tl 0.0000 0.5000 0.2500
Re1 Re 0.0000 0.0000 0.0000
Cl1 Cl 0.0000 0.0000 0.3042
# Energy relative to the elements, uncorrected = 476 meV per atom
# DFT total energy = -4.046 eV per atom
# Size of the total moment = 0.655 μB per atom


Entry 8:
# TcHg2Cl | Alexandria via LeMat-Bulk | GGA-PBEsol | relaxed
data_TcHg2Cl
_chemical_formula_sum 'Tc2 Hg4 Cl2'
_cell_length_a 2.9085
_cell_length_b 4.7846
_cell_length_c 12.2414
_cell_angle_alpha 90.00
_cell_angle_beta 90.00
_cell_angle_gamma 90.00
_space_group_name_H-M_alt 'I m m 2'
_space_group_IT_number 44
loop_
_space_group_symop_operation_xyz
'x,y,z'
'-x,-y,z'
'-x,y,z'
'x,-y,z'
'x+1/2,y+1/2,z+1/2'
'-x+1/2,-y+1/2,z+1/2'
'-x+1/2,y+1/2,z+1/2'
'x+1/2,-y+1/2,z+1/2'
loop_
_atom_site_label
_atom_site_type_symbol
_atom_site_fract_x
_atom_site_fract_y
_atom_site_fract_z
Tc1 Tc 0.0000 0.0000 0.0000
Hg1 Hg 0.0000 0.0000 0.5299
Hg2 Hg 0.0000 0.5000 0.6962
Cl1 Cl 0.0000 0.5000 0.3514
# Energy relative to the elements, uncorrected = 193 meV per atom
# Relative energy among the computed polymorphs = 0 meV/atom
# DFT total energy = -3.409 eV per atom
# Size of the total moment = 0.000 μB per atom


Entry 9:
# As3AuN | Alexandria via LeMat-Bulk | GGA-PBEsol | relaxed
data_As3AuN
_chemical_formula_sum 'As3 Au1 N1'
_cell_length_a 5.0055
_cell_length_b 5.0055
_cell_length_c 5.0055
_cell_angle_alpha 90.00
_cell_angle_beta 90.00
_cell_angle_gamma 90.00
_space_group_name_H-M_alt 'P m -3 m'
_space_group_IT_number 221
_space_group_name_Hall '-P 4 2 3'
loop_
_atom_site_label
_atom_site_type_symbol
_atom_site_fract_x
_atom_site_fract_y
_atom_site_fract_z
As1 As 0.0000 0.0000 0.5000
Au1 Au 0.0000 0.0000 0.0000
N1 N 0.5000 0.5000 0.5000
# Energy relative to the elements, uncorrected = 1932 meV per atom
# DFT total energy = -3.622 eV per atom
# Size of the total moment = 0.550 μB per atom


Entry 10:
# K2CuPt | Alexandria via LeMat-Bulk | GGA-PBEsol | relaxed
data_K2CuPt
_chemical_formula_sum 'K4 Cu2 Pt2'
_cell_length_a 8.3664
_cell_length_b 8.3876
_cell_length_c 2.7532
_cell_angle_alpha 90.00
_cell_angle_beta 90.00
_cell_angle_gamma 90.00
_space_group_name_H-M_alt 'C m m m'
_space_group_IT_number 65
_space_group_name_Hall '-C 2 2'
loop_
_atom_site_label
_atom_site_type_symbol
_atom_site_fract_x
_atom_site_fract_y
_atom_site_fract_z
K1 K 0.2500 0.2500 0.0000
Cu1 Cu 0.0000 0.0000 0.5000
Pt1 Pt 0.0000 0.5000 0.5000
# Formation energy = 0.48 eV/atom
# Relative energy among the computed polymorphs = 305 meV/atom
# DFT total energy = -2.915 eV per atom
# Size of the total moment = 0.000 μB per atom


Entry 11:
# ScSnAu | Alexandria via LeMat-Bulk | GGA-PBEsol | relaxed
data_ScSnAu
_chemical_formula_sum 'Sc2 Sn2 Au2'
_cell_length_a 4.5200
_cell_length_b 4.5200
_cell_length_c 7.0320
_cell_angle_alpha 90.00
_cell_angle_beta 90.00
_cell_angle_gamma 120.00
_space_group_name_H-M_alt 'P 63 m c'
_space_group_IT_number 186
_space_group_name_Hall 'P 6c -2c'
loop_
_atom_site_label
_atom_site_type_symbol
_atom_site_fract_x
_atom_site_fract_y
_atom_site_fract_z
Sc1 Sc 0.0000 0.0000 0.0000
Sn1 Sn 0.3333 0.6667 0.2296
Au1 Au 0.3333 0.6667 0.8348
# Formation energy = -0.75 eV/atom
# DFT total energy = -5.683 eV per atom
# Size of the total moment = 0.000 μB per atom


Entry 12:
# BaTlAg4 | Alexandria via LeMat-Bulk | GGA-PBEsol | relaxed
data_BaTlAg4
_chemical_formula_sum 'Ba4 Tl4 Ag16'
_cell_length_a 8.0830
_cell_length_b 8.0830
_cell_length_c 8.0830
_cell_angle_alpha 90.00
_cell_angle_beta 90.00
_cell_angle_gamma 90.00
_space_group_name_H-M_alt 'F -4 3 m'
_space_group_IT_number 216
_space_group_name_Hall 'F -4 2 3'
loop_
_atom_site_label
_atom_site_type_symbol
_atom_site_fract_x
_atom_site_fract_y
_atom_site_fract_z
Ba1 Ba 0.0000 0.0000 0.0000
Tl1 Tl 0.2500 0.2500 0.7500
Ag1 Ag 0.1239 0.1239 0.3761
# Formation energy = -0.14 eV/atom
# DFT total energy = -3.141 eV per atom
# Size of the total moment = 0.000 μB per atom